Record 1
Compound: Na2PSeBr
Source: the Alexandria database
Functional: GGA-PBEsol
Structure: relaxed

Properties
As for the space-group type: P4/mmm (123). The calculation puts the raw formation energy at -0.025 eV/atom. The value obtained for the size of the total moment is 0.00 Bohr magnetons per cell.

Structure (POSCAR):
```
Na2PSeBr
1.0
5.002 0.000 0.000
0.000 5.170 0.000
0.000 0.000 5.170
Na Se Br P
2 1 1 1
direct
0.000 0.000 0.500
0.000 0.500 0.000
0.500 0.500 0.500
0.000 0.000 0.000
0.500 0.000 0.000
```

=====

Record 2
Compound: Li2HgP
Source: the Alexandria database
Functional: GGA-PBEsol
Structure: relaxed

Properties
The total energy comes out at -0.2089 Ry per atom. As for the space-group type: R-3m (166). The value obtained for the size of the total moment is 0.00 Bohr magnetons per cell.

Structure (POSCAR):
```
Li2HgP
1.0
2.979 0.000 0.000
1.489 2.580 0.000
1.489 0.860 8.576
Li P Hg
2 1 1
direct
0.761 0.761 0.716
0.239 0.239 0.284
0.500 0.500 0.500
0.000 0.000 0.000
```

=====

Record 3
Compound: RbTcRu2Pt
Source: the Alexandria database
Functional: GGA-PBEsol
Structure: relaxed

Properties
The total energy comes out at -0.4369 Ry per atom. As for the space-group type: P4/mmm (123). The value obtained for the size of the total moment is 5.57 Bohr magnetons per cell.

Structure (POSCAR):
```
RbTcRu2Pt
1.0
-1.257 -2.611 3.773
4.191 -2.555 -0.371
2.230 3.226 2.975
Ru Tc Rb Pt
2 1 1 1
direct
0.000 0.000 0.500
0.000 0.500 0.000
0.500 0.000 0.000
0.500 0.500 0.500
0.000 0.000 0.000
```